Arrangement a

! PBE-GGA Ca2Sc, relaxed; values from VASP
! D(E_F) = 9.54 states/eV per cell
! V = 208.0 Å³ per cell
! magnetization = 0.000 μB/f.u.
! space-group type = Cm (8)
&SYSTEM
  ibrav = 0, nat = 6, ntyp = 2
/
ATOMIC_SPECIES
Ca 40.08 Ca.upf
Sc 44.96 Sc.upf
CELL_PARAMETERS angstrom
5.235 -2.536 -3.579
6.738 -1.048 -0.384
1.928 -8.139 2.885
ATOMIC_POSITIONS angstrom
Ca 2.401 -8.014 2.604
Ca 9.239 -7.242 -0.972
Ca 4.858 -3.561 -0.626
Ca 5.823 -7.620 0.811
Sc 1.174 -3.433 1.047
Sc 8.553 -3.669 -2.314

Arrangement b

! PBE-GGA Ca2Sc, relaxed; values from VASP
! D(E_F) = 4.94 states/eV per cell
! V = 104.8 Å³ per cell
! magnetization = 1.003 μB/f.u.
! space-group type = I4/mmm (139)
&SYSTEM
  ibrav = 0, nat = 3, ntyp = 2
/
ATOMIC_SPECIES
Sc 44.96 Sc.upf
Ca 40.08 Ca.upf
CELL_PARAMETERS angstrom
8.223 0.008 0.000
6.585 4.925 0.000
-7.404 -2.467 2.591
ATOMIC_POSITIONS angstrom
Sc 0.000 0.000 0.000
Ca 5.109 1.702 0.000
Ca 9.698 3.231 0.000

In eV/atom, relative to the most stable structure: arrangement a 0.000; arrangement b 0.008.

Arrangement a

! PBE-GGA SrCr2Hg, relaxed; values from VASP
! D(E_F) = 3.48 states/eV per cell
! V = 97.1 Å³ per cell
! magnetization = 8.719 μB/f.u.
! space-group type = P4/mmm (123)
&SYSTEM
  ibrav = 0, nat = 4, ntyp = 3
/
ATOMIC_SPECIES
Cr 52.00 Cr.upf
Hg 200.59 Hg.upf
Sr 87.62 Sr.upf
CELL_PARAMETERS angstrom
-2.077 3.957 -1.112
-2.652 -0.335 3.760
3.122 2.315 2.408
ATOMIC_POSITIONS angstrom
Cr 0.000 0.000 0.000
Cr -2.364 1.811 1.324
Hg 0.522 3.136 0.648
Sr 0.235 0.990 3.084

Arrangement b

! PBE-GGA SrCr2Hg, relaxed; values from VASP
! D(E_F) = 1.15 states/eV per cell
! V = 101.8 Å³ per cell
! magnetization = 0.002 μB/f.u.
! space-group type = R3m (160)
&SYSTEM
  ibrav = 0, nat = 4, ntyp = 3
/
ATOMIC_SPECIES
Cr 52.00 Cr.upf
Hg 200.59 Hg.upf
Sr 87.62 Sr.upf
CELL_PARAMETERS angstrom
4.459 -0.062 0.034
2.285 3.829 0.034
2.200 1.229 5.935
ATOMIC_POSITIONS angstrom
Cr 2.208 1.233 4.928
Cr 6.704 3.744 4.904
Hg 4.465 2.494 3.714
Sr 2.239 1.251 1.393

In eV/atom, relative to the most stable structure: arrangement a 0.394; arrangement b 0.000.

Arrangement a

! PBE-GGA TmTh2Mg, relaxed; values from VASP
! D(E_F) = 5.35 states/eV per cell
! V = 120.7 Å³ per cell
! magnetization = 0.000 μB/f.u.
! space-group type = R3m (160)
&SYSTEM
  ibrav = 0, nat = 4, ntyp = 3
/
ATOMIC_SPECIES
Tm 168.93 Tm.upf
Th 232.04 Th.upf
Mg 24.30 Mg.upf
CELL_PARAMETERS angstrom
3.443 0.000 0.000
1.722 2.982 0.000
1.722 0.994 11.753
ATOMIC_POSITIONS angstrom
Tm 3.443 1.988 0.007
Th 1.722 0.994 8.795
Th 1.722 0.994 2.957
Mg 3.443 1.988 5.870

Arrangement b

! PBE-GGA TmTh2Mg, relaxed; values from VASP
! D(E_F) = 4.62 states/eV per cell
! V = 120.7 Å³ per cell
! magnetization = 0.000 μB/f.u.
! space-group type = P4/mmm (123)
&SYSTEM
  ibrav = 0, nat = 4, ntyp = 3
/
ATOMIC_SPECIES
Mg 24.30 Mg.upf
Tm 168.93 Tm.upf
Th 232.04 Th.upf
CELL_PARAMETERS angstrom
3.469 0.000 0.000
0.000 3.469 0.000
0.000 0.000 10.025
ATOMIC_POSITIONS angstrom
Mg 1.735 1.735 0.000
Tm 1.735 1.735 5.013
Th 0.000 0.000 7.581
Th 0.000 0.000 2.444

In eV/atom, relative to the most stable structure: arrangement a 0.024; arrangement b 0.000.

Arrangement a

! PBE-GGA CoOs2Ru, relaxed; values from VASP
! D(E_F) = 5.76 states/eV per cell
! V = 55.9 Å³ per cell
! magnetization = 2.934 μB/f.u.
! space-group type = Cmmm (65)
&SYSTEM
  ibrav = 0, nat = 4, ntyp = 3
/
ATOMIC_SPECIES
Co 58.93 Co.upf
Os 190.23 Os.upf
Ru 101.07 Ru.upf
CELL_PARAMETERS angstrom
2.653 -0.001 0.000
-1.240 2.346 0.000
0.000 0.000 8.977
ATOMIC_POSITIONS angstrom
Co 0.707 1.172 6.733
Os 0.000 0.000 8.901
Os 0.000 0.000 4.564
Ru 0.707 1.172 2.244

Arrangement b

! PBE-GGA CoOs2Ru, relaxed; values from VASP
! D(E_F) = 6.18 states/eV per cell
! V = 55.6 Å³ per cell
! magnetization = 2.482 μB/f.u.
! space-group type = Pmmm (47)
&SYSTEM
  ibrav = 0, nat = 4, ntyp = 3
/
ATOMIC_SPECIES
Co 58.93 Co.upf
Os 190.23 Os.upf
Ru 101.07 Ru.upf
CELL_PARAMETERS angstrom
2.745 0.000 0.000
0.000 4.498 0.000
0.000 0.000 4.502
ATOMIC_POSITIONS angstrom
Co 0.000 2.249 2.251
Os 0.000 0.000 0.000
Os 1.373 2.249 0.000
Ru 1.373 0.000 2.251

In eV/atom, relative to the most stable structure: arrangement a 0.005; arrangement b 0.000.